A.
A plane-wave DFT calculation with PBEsol was carried out for a relaxed structure of GeTeN2F.

Computed properties:
Its volume is 16.644 Å³ per atom. The symmetry is P4/mmm, No. 123.

a b c (Å): 4.142 4.482 4.482
angles (deg): 90.00 90.00 90.00
Each line ends with the local moment (μB).
Fractional positions:
N  0.000  0.000  0.500  1.43
N  0.000  0.500  0.000  1.43
F  0.000  0.000  0.000  0.19
Ge  0.500  0.500  0.500  -0.10
Te  0.500  0.000  0.000  0.12


B.
A plane-wave DFT calculation with PBEsol was carried out for a relaxed structure of GeTeN2F.

Computed properties:
Its volume is 14.188 Å³ per atom. The symmetry is P4/mmm, No. 123.

a b c (Å): 4.124 4.124 4.171
angles (deg): 90.00 90.00 90.00
Fractional positions:
N  0.000  0.500  0.000
N  0.500  0.000  0.000
Te  0.000  0.000  0.000
Ge  0.500  0.500  0.500
F  0.000  0.000  0.500


Referenced to the most stable arrangement, the calculated values in kJ/mol of atoms are A 109.9; B 0.0.


A.
A plane-wave DFT calculation with PBEsol was carried out for a relaxed structure of TaGe3F.

Computed properties:
Its volume is 23.880 Å³ per atom. The symmetry is Pm-3m, No. 221.

a b c (Å): 4.924 4.924 4.924
angles (deg): 90.00 90.00 90.00
Each line ends with the local moment (μB).
Fractional positions:
Ge  0.000  0.500  0.000  0.01
Ge  0.500  0.000  0.000  0.01
Ge  0.000  0.000  0.500  0.01
F  0.500  0.500  0.500  0.10
Ta  0.000  0.000  0.000  0.03


B.
A plane-wave DFT calculation with PBEsol was carried out for a relaxed structure of TaGe3F.

Computed properties:
Its volume is 16.252 Å³ per atom. The symmetry is Pm-3m, No. 221.

a b c (Å): 4.331 4.331 4.331
angles (deg): 90.00 90.00 90.00
Fractional positions:
Ge  0.000  0.500  0.000
Ge  0.000  0.000  0.500
Ge  0.500  0.000  0.000
Ta  0.500  0.500  0.500
F  0.000  0.000  0.000


Referenced to the most stable arrangement, the calculated values in kJ/mol of atoms are A 7.3; B 0.0.


A.
A plane-wave DFT calculation with PBEsol was carried out for a relaxed structure of TlGeF3.

Computed properties:
Its volume is 19.293 Å³ per atom. The symmetry is P1, No. 1.

a b c (Å): 4.564 4.552 4.808
angles (deg): 103.56 96.55 87.32
Fractional positions:
Tl  0.079  0.099  0.938
Ge  0.511  0.487  0.494
F  0.491  0.912  0.561
F  0.491  0.524  0.887
F  0.927  0.487  0.560


B.
A plane-wave DFT calculation with PBEsol was carried out for a relaxed structure of TlGeF3.

Computed properties:
Its volume is 18.821 Å³ per atom. The symmetry is P2_1/m, No. 11.

a b c (Å): 4.750 5.808 7.058
angles (deg): 90.00 104.82 90.00
Fractional positions:
F  0.306  0.250  0.341
F  0.185  0.976  0.828
F  0.815  0.024  0.172
F  0.185  0.524  0.828
F  0.815  0.476  0.172
F  0.694  0.750  0.659
Ge  0.075  0.750  0.636
Ge  0.925  0.250  0.364
Tl  0.332  0.750  0.196
Tl  0.668  0.250  0.804


Referenced to the most stable arrangement, the calculated values in kJ/mol of atoms are A 2.5; B 0.0.


A.
A plane-wave DFT calculation with PBEsol was carried out for a relaxed structure of MnHNF2.

Computed properties:
Its volume is 8.697 Å³ per atom. The symmetry is P4/mmm, No. 123.

a b c (Å): 2.670 4.036 4.036
angles (deg): 90.00 90.00 90.00
Each line ends with the local moment (μB).
Fractional positions:
H  0.000  0.000  0.000  -0.02
F  0.000  0.500  0.000  0.21
F  0.000  0.000  0.500  0.21
N  0.500  0.000  0.000  1.34
Mn  0.500  0.500  0.500  4.45


B.
A plane-wave DFT calculation with PBEsol was carried out for a relaxed structure of MnHNF2.

Computed properties:
Its volume is 12.215 Å³ per atom. The symmetry is P4/mmm, No. 123.

a b c (Å): 3.449 4.208 4.208
angles (deg): 90.00 90.00 90.00
Each line ends with the local moment (μB).
Fractional positions:
F  0.000  0.500  0.000  -0.01
F  0.000  0.000  0.500  -0.01
H  0.500  0.500  0.500  0.34
N  0.000  0.000  0.000  -0.44
Mn  0.500  0.000  0.000  3.06


Referenced to the most stable arrangement, the calculated values in kJ/mol of atoms are A 0.0; B 43.5.


A.
A plane-wave DFT calculation with PBEsol was carried out for a relaxed structure of HfMgF2.

Computed properties:
Its volume is 14.037 Å³ per atom. The symmetry is R-3m, No. 166.

a b c (Å): 3.143 3.143 6.810
angles (deg): 76.66 76.66 60.00
Each line ends with the local moment (μB).
Fractional positions:
Mg  0.500  0.500  0.500  0.00
F  0.122  0.122  0.635  0.01
F  0.878  0.878  0.365  0.01
Hf  0.000  0.000  0.000  0.14


B.
A plane-wave DFT calculation with PBEsol was carried out for a relaxed structure of HfMgF2.

Computed properties:
Its volume is 14.883 Å³ per atom. The symmetry is R-3m, No. 166.

a b c (Å): 2.940 2.940 8.129
angles (deg): 79.58 79.58 60.00
Fractional positions:
Hf  0.500  0.500  0.500
F  0.899  0.899  0.304
F  0.101  0.101  0.696
Mg  0.000  0.000  0.000


Referenced to the most stable arrangement, the calculated values in kJ/mol of atoms are A 0.0; B 16.2.


A.
A plane-wave DFT calculation with PBEsol was carried out for a relaxed structure of HfMgOF2.

Computed properties:
Its volume is 14.801 Å³ per atom. The symmetry is P4/mmm, No. 123.

a b c (Å): 4.007 4.298 4.298
angles (deg): 90.00 90.00 90.00
Fractional positions:
Mg  0.500  0.500  0.500
O  0.500  0.000  0.000
Hf  0.000  0.000  0.000
F  0.000  0.000  0.500
F  0.000  0.500  0.000


B.
A plane-wave DFT calculation with PBEsol was carried out for a relaxed structure of HfMgOF2.

Computed properties:
Its volume is 12.012 Å³ per atom. The symmetry is P4/mmm, No. 123.

a b c (Å): 3.611 3.611 4.605
angles (deg): 90.00 90.00 90.00
Each line ends with the local moment (μB).
Fractional positions:
Hf  0.500  0.500  0.500  0.76
F  0.000  0.500  0.000  0.02
F  0.500  0.000  0.000  0.02
O  0.000  0.000  0.500  0.01
Mg  0.000  0.000  0.000  0.00


Referenced to the most stable arrangement, the calculated values in kJ/mol of atoms are A 0.0; B 33.8.


A.
A plane-wave DFT calculation with PBEsol was carried out for a relaxed structure of HfPbN2F.

Computed properties:
Its volume is 14.642 Å³ per atom. The symmetry is P4/mmm, No. 123.

a b c (Å): 4.095 4.228 4.228
angles (deg): 90.00 90.00 90.00
Each line ends with the local moment (μB).
Fractional positions:
Hf  0.000  0.000  0.000  0.00
Pb  0.500  0.500  0.500  0.00
N  0.000  0.000  0.500  0.22
N  0.000  0.500  0.000  0.22
F  0.500  0.000  0.000  0.00


B.
A plane-wave DFT calculation with PBEsol was carried out for a relaxed structure of HfPbN2F.

Computed properties:
Its volume is 14.981 Å³ per atom. The symmetry is P4/mmm, No. 123.

a b c (Å): 4.111 4.269 4.269
angles (deg): 90.00 90.00 90.00
Fractional positions:
N  0.000  0.000  0.500
N  0.000  0.500  0.000
Hf  0.500  0.500  0.500
Pb  0.000  0.000  0.000
F  0.500  0.000  0.000


Referenced to the most stable arrangement, the calculated values in kJ/mol of atoms are A 0.0; B 156.3.


A.
A plane-wave DFT calculation with PBEsol was carried out for a relaxed structure of HfPtF2.

Computed properties:
Its volume is 17.942 Å³ per atom. The symmetry is R-3m, No. 166.

a b c (Å): 2.886 2.886 10.091
angles (deg): 81.78 81.78 60.00
Each line ends with the local moment (μB).
Fractional positions:
F  0.936  0.936  0.191  0.00
F  0.064  0.064  0.809  0.00
Hf  0.000  0.000  0.000  0.00
Pt  0.500  0.500  0.500  0.54


B.
A plane-wave DFT calculation with PBEsol was carried out for a relaxed structure of HfPtF2.

Computed properties:
Its volume is 14.509 Å³ per atom. The symmetry is I-42d, No. 122.

a b c (Å): 4.021 4.021 7.721
angles (deg): 105.09 105.09 90.00
Fractional positions:
F  0.743  0.375  0.250
F  0.507  0.875  0.250
F  0.125  0.257  0.750
F  0.625  0.493  0.750
Pt  0.000  0.000  0.000
Pt  0.250  0.750  0.500
Hf  0.750  0.250  0.500
Hf  0.500  0.500  0.000


Referenced to the most stable arrangement, the calculated values in kJ/mol of atoms are A 48.9; B 0.0.


A.
A plane-wave DFT calculation with PBEsol was carried out for a relaxed structure of HfSiF3.

Computed properties:
Its volume is 15.091 Å³ per atom. The symmetry is Pm-3m, No. 221.

a b c (Å): 4.226 4.226 4.226
angles (deg): 90.00 90.00 90.00
Each line ends with the local moment (μB).
Fractional positions:
F  0.000  0.000  0.500  0.03
F  0.000  0.500  0.000  0.03
F  0.500  0.000  0.000  0.03
Si  0.000  0.000  0.000  0.00
Hf  0.500  0.500  0.500  0.97


B.
A plane-wave DFT calculation with PBEsol was carried out for a relaxed structure of HfSiF3.

Computed properties:
Its volume is 14.835 Å³ per atom. The symmetry is Pm-3m, No. 221.

a b c (Å): 4.202 4.202 4.202
angles (deg): 90.00 90.00 90.00
Each line ends with the local moment (μB).
Fractional positions:
Si  0.500  0.500  0.500  0.27
F  0.000  0.000  0.500  0.04
F  0.000  0.500  0.000  0.04
F  0.500  0.000  0.000  0.04
Hf  0.000  0.000  0.000  0.44


Referenced to the most stable arrangement, the calculated values in kJ/mol of atoms are A 98.1; B 0.0.


A.
A plane-wave DFT calculation with PBEsol was carried out for a relaxed structure of HfZrF3.

Computed properties:
Its volume is 16.238 Å³ per atom. The symmetry is Pm-3m, No. 221.

a b c (Å): 4.330 4.330 4.330
angles (deg): 90.00 90.00 90.00
Each line ends with the local moment (μB).
Fractional positions:
F  0.000  0.500  0.000  0.07
F  0.500  0.000  0.000  0.07
F  0.000  0.000  0.500  0.07
Zr  0.000  0.000  0.000  0.87
Hf  0.500  0.500  0.500  1.48


B.
A plane-wave DFT calculation with PBEsol was carried out for a relaxed structure of HfZrF3.

Computed properties:
Its volume is 15.633 Å³ per atom. The symmetry is Pm-3m, No. 221.

a b c (Å): 4.276 4.276 4.276
angles (deg): 90.00 90.00 90.00
Each line ends with the local moment (μB).
Fractional positions:
F  0.500  0.000  0.000  0.08
F  0.000  0.500  0.000  0.08
F  0.000  0.000  0.500  0.08
Zr  0.500  0.500  0.500  1.81
Hf  0.000  0.000  0.000  0.78


Referenced to the most stable arrangement, the calculated values in kJ/mol of atoms are A 9.6; B 0.0.


A.
A plane-wave DFT calculation with PBEsol was carried out for a relaxed structure of HgF2.

Computed properties:
Its volume is 14.174 Å³ per atom. The symmetry is Fm-3m, No. 225.

a b c (Å): 3.918 3.918 3.918
angles (deg): 60.00 60.00 60.00
Fractional positions:
Hg  0.000  0.000  0.000
F  0.250  0.250  0.250
F  0.750  0.750  0.750


B.
A plane-wave DFT calculation with PBEsol was carried out for a relaxed structure of HgF2.

Computed properties:
Its volume is 16.589 Å³ per atom. The symmetry is P4_2/mnm, No. 136.

a b c (Å): 3.743 5.157 5.157
angles (deg): 90.00 90.00 90.00
Fractional positions:
Hg  0.000  0.000  0.000
Hg  0.500  0.500  0.500
F  0.000  0.305  0.305
F  0.000  0.695  0.695
F  0.500  0.805  0.195
F  0.500  0.195  0.805


C.
A plane-wave DFT calculation with PBEsol was carried out for a relaxed structure of HgF2.

Computed properties:
Its volume is 13.025 Å³ per atom. The symmetry is Pnma, No. 62.

a b c (Å): 3.674 5.925 7.180
angles (deg): 90.00 90.00 90.00
Fractional positions:
Hg  0.250  0.757  0.107
Hg  0.250  0.257  0.393
Hg  0.750  0.743  0.607
Hg  0.750  0.243  0.893
F  0.250  0.987  0.837
F  0.750  0.140  0.581
F  0.750  0.513  0.337
F  0.250  0.860  0.419
F  0.750  0.640  0.919
F  0.250  0.360  0.081
F  0.750  0.013  0.163
F  0.250  0.487  0.663


Referenced to the most stable arrangement, the calculated values in kJ/mol of atoms are A 0.0; B 3.2; C 2.0.


A.
A plane-wave DFT calculation with PBEsol was carried out for a relaxed structure of MnHgOF2.

Computed properties:
Its volume is 12.513 Å³ per atom. The symmetry is P4/mmm, No. 123.

a b c (Å): 3.805 4.055 4.055
angles (deg): 90.00 90.00 90.00
Each line ends with the local moment (μB).
Fractional positions:
Mn  0.000  0.000  0.000  3.77
Hg  0.500  0.500  0.500  -0.04
F  0.000  0.500  0.000  0.04
F  0.000  0.000  0.500  0.04
O  0.500  0.000  0.000  0.01


B.
A plane-wave DFT calculation with PBEsol was carried out for a relaxed structure of MnHgOF2.

Computed properties:
Its volume is 16.401 Å³ per atom. The symmetry is P4/mmm, No. 123.

a b c (Å): 4.171 4.434 4.434
angles (deg): 90.00 90.00 90.00
Each line ends with the local moment (μB).
Fractional positions:
F  0.000  0.500  0.000  0.01
F  0.000  0.000  0.500  0.01
O  0.500  0.000  0.000  0.02
Mn  0.500  0.500  0.500  4.60
Hg  0.000  0.000  0.000  0.00


Referenced to the most stable arrangement, the calculated values in kJ/mol of atoms are A 0.0; B 95.4.


A.
A plane-wave DFT calculation with PBEsol was carried out for a relaxed structure of LaIF2.

Computed properties:
Its volume is 29.078 Å³ per atom. The symmetry is R-3m, No. 166.

a b c (Å): 3.594 3.594 10.603
angles (deg): 80.24 80.24 60.00
Fractional positions:
F  0.934  0.934  0.199
F  0.066  0.066  0.801
I  0.500  0.500  0.500
La  0.000  0.000  0.000


B.
A plane-wave DFT calculation with PBEsol was carried out for a relaxed structure of LaIF2.

Computed properties:
Its volume is 20.487 Å³ per atom. The symmetry is R-3m, No. 166.

a b c (Å): 4.126 4.126 6.048
angles (deg): 70.06 70.06 60.00
Fractional positions:
I  0.000  0.000  0.000
La  0.500  0.500  0.500
F  0.805  0.805  0.585
F  0.195  0.195  0.415


Referenced to the most stable arrangement, the calculated values in kJ/mol of atoms are A 147.5; B 0.0.